# 1
The following is a PBE calculation of Pr2GePb after structural relaxation, from Alexandria via LeMat-Bulk.

a = 3.5205 Å, b = 3.5205 Å, c = 9.0187 Å
α = 90.00°, β = 90.00°, γ = 90.00°
With the nearest neighbours (Å) after each atom.
Atoms (fractional coordinates):
Pb  0.5000  0.5000  0.5000  4 Pb 3.52, 8 Pr 3.53
Pr  0.0000  0.0000  0.7773  4 Ge 3.20, 4 Pr 3.52, 4 Pb 3.53
Pr  0.0000  0.0000  0.2227  4 Ge 3.20, 4 Pr 3.52, 4 Pb 3.53
Ge  0.5000  0.5000  0.0000  8 Pr 3.20, 4 Ge 3.52

Properties
Volume: 27.94 Å³ per atom
ΔH_f (0 K): -585 meV/atom
Space-group type: No. 123

***

# 2
The following is a PBE calculation of TiNb2In2S6 after structural relaxation, from Alexandria via LeMat-Bulk.

a = 5.9923 Å, b = 5.9923 Å, c = 7.9540 Å
α = 96.76°, β = 96.76°, γ = 120.14°
With the nearest neighbours (Å) after each atom.
Atoms (fractional coordinates):
Ti  0.0000  0.0000  0.5000  6 S 2.46-2.48
Nb  0.3563  0.6437  0.5000  6 S 2.46-2.62
Nb  0.6437  0.3563  0.5000  6 S 2.46-2.62
In  0.8227  0.1773  0.0000  6 S 3.06-3.10, 2 In 3.35
In  0.1773  0.8227  0.0000  6 S 3.06-3.10, 2 In 3.35
S  0.7504  0.7504  0.7087  2 Nb 2.46, 1 Ti 2.48
S  0.0545  0.3899  0.6869  1 Ti 2.46, 2 Nb 2.49-2.62
S  0.2496  0.2496  0.2913  2 Nb 2.46, 1 Ti 2.48
S  0.3899  0.0545  0.6869  1 Ti 2.46, 2 Nb 2.49-2.62
S  0.9455  0.6101  0.3131  1 Ti 2.46, 2 Nb 2.49-2.62
S  0.6101  0.9455  0.3131  1 Ti 2.46, 2 Nb 2.49-2.62

Properties
Volume: 21.82 Å³ per atom
Energy relative to the elements, uncorrected: -898 meV per atom
Space-group type: No. 12

***

# 3
The following is a PBE calculation of AlSbS2Cl after structural relaxation, from Alexandria via LeMat-Bulk.

a = 4.7511 Å, b = 4.7511 Å, c = 4.5112 Å
α = 90.00°, β = 90.00°, γ = 90.00°
With the nearest neighbours (Å) after each atom.
Atoms (fractional coordinates):
Sb  0.5000  0.5000  0.5000  8 S 3.28, 4 Cl 3.36
S  0.0000  0.5000  0.0000  2 Al 2.38
S  0.5000  0.0000  0.0000  2 Al 2.38
Al  0.0000  0.0000  0.0000  2 Cl 2.26, 4 S 2.38
Cl  0.0000  0.0000  0.5000  2 Al 2.26

Properties
Volume: 20.37 Å³ per atom
Energy relative to the elements, uncorrected: -306 meV per atom
Space-group type: No. 123
Excess energy over the best structure of this formula in the dataset: 0 kJ/mol of formula units

***

# 4
The following is a PBE calculation of KTlNi after structural relaxation, from Alexandria via LeMat-Bulk.

a = 5.2372 Å, b = 5.2372 Å, c = 5.2372 Å
α = 60.00°, β = 60.00°, γ = 60.00°
With the nearest neighbours (Å) after each atom.
Atoms (fractional coordinates):
K  0.7500  0.7500  0.7500  4 Ni 3.21, 4 Tl 3.21
Ni  0.0000  0.0000  0.0000  4 K 3.21
Tl  0.5000  0.5000  0.5000  4 K 3.21

Properties
Volume: 33.86 Å³ per atom
ΔH_f (0 K): 974 meV/atom
Space-group type: No. 216

***

# 5
The following is a PBE calculation of RbBaLi2Hg after structural relaxation, from Alexandria via LeMat-Bulk.

a = 5.7698 Å, b = 5.7698 Å, c = 6.3598 Å
α = 90.00°, β = 90.00°, γ = 90.00°
With the nearest neighbours (Å) after each atom.
Atoms (fractional coordinates):
Li  0.0000  0.5000  0.0000  2 Hg 2.88
Li  0.5000  0.0000  0.0000  2 Hg 2.88
Hg  0.0000  0.0000  0.0000  4 Li 2.88, 2 Ba 3.18
Rb  0.5000  0.5000  0.5000  4 Ba 4.08, 8 Li 4.29
Ba  0.0000  0.0000  0.5000  2 Hg 3.18

Properties
Volume: 42.34 Å³ per atom
ΔH_f (0 K): -8 meV/atom
Space-group type: No. 123

***

# 6
The following is a PBE calculation of Sm3Zn2Sn after structural relaxation, from Alexandria via LeMat-Bulk.

a = 5.2367 Å, b = 5.2367 Å, c = 12.9554 Å
α = 90.00°, β = 90.00°, γ = 120.00°
With the nearest neighbours (Å) after each atom.
Atoms (fractional coordinates):
Sm  0.3333  0.6667  0.4146  4 Sn 3.21-3.28, 4 Zn 3.22-3.34
Sm  0.6667  0.3333  0.0772  7 Zn 3.03-3.19, 1 Sn 3.30
Sm  0.0000  0.0000  0.7587  5 Zn 3.13-3.35, 3 Sn 3.24
Sm  0.0000  0.0000  0.2413  5 Zn 3.13-3.35, 3 Sn 3.24
Sm  0.3333  0.6667  0.9228  7 Zn 3.03-3.19, 1 Sn 3.30
Sm  0.6667  0.3333  0.5854  4 Sn 3.21-3.28, 4 Zn 3.22-3.34
Zn  0.0000  0.0000  0.5000  8 Sm 3.22-3.35
Zn  0.3333  0.6667  0.1566  8 Sm 3.03-3.34
Zn  0.6667  0.3333  0.8434  8 Sm 3.03-3.34
Zn  0.0000  0.0000  0.0000  8 Sm 3.13-3.18
Sn  0.3333  0.6667  0.6680  8 Sm 3.21-3.30
Sn  0.6667  0.3333  0.3320  8 Sm 3.21-3.30

Properties
Volume: 25.64 Å³ per atom
ΔH_f (0 K): -452 meV/atom
Space-group type: No. 164

***

# 7
The following is a PBE calculation of CaTm2ScTl4 after structural relaxation, from Alexandria via LeMat-Bulk.

a = 5.3008 Å, b = 5.3008 Å, c = 9.1927 Å
α = 73.24°, β = 73.24°, γ = 60.00°
With the nearest neighbours (Å) after each atom.
Atoms (fractional coordinates):
Ca  0.0000  0.0000  0.0000  8 Tl 3.28-3.32
Tm  0.7495  0.7495  0.7514  8 Tl 3.20-3.33
Tm  0.2505  0.2505  0.2486  8 Tl 3.20-3.33
Sc  0.5000  0.5000  0.5000  8 Tl 3.16-3.23
Tl  0.3784  0.3784  0.8648  1 Sc 3.16, 4 Tm 3.21-3.33, 3 Ca 3.28
Tl  0.8725  0.8725  0.3825  4 Tm 3.20-3.27, 3 Sc 3.23, 1 Ca 3.32
Tl  0.1275  0.1275  0.6175  4 Tm 3.20-3.27, 3 Sc 3.23, 1 Ca 3.32
Tl  0.6216  0.6216  0.1352  1 Sc 3.16, 4 Tm 3.21-3.33, 3 Ca 3.28

Properties
Volume: 26.37 Å³ per atom
ΔH_f (0 K): -301 meV/atom
Space-group type: No. 166

***

# 8
The following is a PBE calculation of PrZnCd4 after structural relaxation, from Alexandria via LeMat-Bulk.

a = 5.9169 Å, b = 5.9169 Å, c = 5.9169 Å
α = 60.00°, β = 60.00°, γ = 60.00°
With the nearest neighbours (Å) after each atom.
Atoms (fractional coordinates):
Pr  0.2500  0.2500  0.2500  12 Cd 3.47, 4 Zn 3.62
Zn  0.0000  0.0000  0.0000  12 Cd 3.47, 4 Pr 3.62
Cd  0.6249  0.6249  0.1253  6 Cd 2.96
Cd  0.6249  0.1253  0.6249  6 Cd 2.96
Cd  0.6249  0.6249  0.6249  6 Cd 2.96
Cd  0.1253  0.6249  0.6249  6 Cd 2.96

Properties
Volume: 24.41 Å³ per atom
ΔH_f (0 K): -29 meV/atom
Space-group type: No. 216
Excess energy over the best structure of this formula in the dataset: 108 kJ/mol of formula units

***

N(E_F)? In order: 3.00 4.00 2.82 10.25 3.12 11.07 5.15 6.15 states/eV/cell.
DFT total energy? In order: -20.223 -68.156 -19.499 -6.325 -7.062 -46.844 -29.148 -9.889 eV for the cell shown.